1.
Here is a relaxed NaGaPt crystal from OQMD. Energies are from PBE.

Results
DFT total energy: -44.49 eV per cell
spin magnetization: 0.00 μB per formula unit

The structure in CIF format:
```
data_NaGaPt
_cell_length_a 6.254
_cell_length_b 6.254
_cell_length_c 6.254
_cell_angle_alpha 90.00
_cell_angle_beta 90.00
_cell_angle_gamma 90.00
_space_group_name_H-M_alt 'F -4 3 m'
_space_group_IT_number 216
_space_group_name_Hall 'F -4 2 3'
loop_
_atom_site_label
_atom_site_fract_x
_atom_site_fract_y
_atom_site_fract_z
_atom_site_occupancy
Na1 0.000 0.000 0.000 1
Ga1 0.000 0.000 0.500 1
Pt1 0.250 0.250 0.750 1
```

***

2.
Here is a relaxed Na2Sc2GaSiPt2 crystal from OQMD. Energies are from PBE.

Results
DFT total energy: -40.37 eV per cell
spin magnetization: 0.01 μB per formula unit

The structure in CIF format:
```
data_Na2Sc2GaSiPt2
_cell_length_a 4.565
_cell_length_b 4.565
_cell_length_c 6.501
_cell_angle_alpha 90.00
_cell_angle_beta 90.00
_cell_angle_gamma 90.00
_space_group_name_H-M_alt 'P -4 m 2'
_space_group_IT_number 115
loop_
_space_group_symop_operation_xyz
'x,y,z'
'y,-x,-z'
'-x,-y,z'
'-y,x,-z'
'-x,y,z'
'-y,-x,-z'
'x,-y,z'
'y,x,-z'
loop_
_atom_site_label
_atom_site_fract_x
_atom_site_fract_y
_atom_site_fract_z
_atom_site_occupancy
Na1 0.000 0.500 0.249 1
Sc1 0.000 0.000 0.000 1
Sc2 0.500 0.500 0.500 1
Ga1 0.000 0.000 0.500 1
Si1 0.500 0.500 0.000 1
Pt1 0.000 0.500 0.759 1
```

***

3.
Here is a relaxed Na2Sc2GaSnPt2 crystal from OQMD. Energies are from PBE.

Results
DFT total energy: -39.26 eV per cell
spin magnetization: 0.02 μB per formula unit

The structure in CIF format:
```
data_Na2Sc2GaSnPt2
_cell_length_a 4.660
_cell_length_b 4.660
_cell_length_c 6.690
_cell_angle_alpha 90.00
_cell_angle_beta 90.00
_cell_angle_gamma 90.00
_space_group_name_H-M_alt 'P -4 m 2'
_space_group_IT_number 115
loop_
_space_group_symop_operation_xyz
'x,y,z'
'y,-x,-z'
'-x,-y,z'
'-y,x,-z'
'-x,y,z'
'-y,-x,-z'
'x,-y,z'
'y,x,-z'
loop_
_atom_site_label
_atom_site_fract_x
_atom_site_fract_y
_atom_site_fract_z
_atom_site_occupancy
Na1 0.000 0.500 0.236 1
Sc1 0.000 0.000 0.000 1
Sc2 0.500 0.500 0.500 1
Ga1 0.500 0.500 0.000 1
Sn1 0.000 0.000 0.500 1
Pt1 0.000 0.500 0.757 1
```

***

4.
Here is a relaxed NaGaSnPt crystal from OQMD. Energies are from PBE.

Results
DFT total energy: -62.09 eV per cell
spin magnetization: 0.00 μB per formula unit

The structure in CIF format:
```
data_NaGaSnPt
_cell_length_a 6.675
_cell_length_b 6.675
_cell_length_c 6.675
_cell_angle_alpha 90.00
_cell_angle_beta 90.00
_cell_angle_gamma 90.00
_space_group_name_H-M_alt 'F -4 3 m'
_space_group_IT_number 216
_space_group_name_Hall 'F -4 2 3'
loop_
_atom_site_label
_atom_site_fract_x
_atom_site_fract_y
_atom_site_fract_z
_atom_site_occupancy
Na1 0.000 0.000 0.000 1
Ga1 0.250 0.250 0.250 1
Sn1 0.250 0.250 0.750 1
Pt1 0.000 0.000 0.500 1
```

***

5.
Here is a relaxed NaGaSnPt crystal from OQMD. Energies are from PBE.

Results
DFT total energy: -60.16 eV per cell
spin magnetization: 0.00 μB per formula unit

The structure in CIF format:
```
data_NaGaSnPt
_cell_length_a 6.803
_cell_length_b 6.803
_cell_length_c 6.803
_cell_angle_alpha 90.00
_cell_angle_beta 90.00
_cell_angle_gamma 90.00
_space_group_name_H-M_alt 'F -4 3 m'
_space_group_IT_number 216
_space_group_name_Hall 'F -4 2 3'
loop_
_atom_site_label
_atom_site_fract_x
_atom_site_fract_y
_atom_site_fract_z
_atom_site_occupancy
Na1 0.000 0.000 0.000 1
Ga1 0.250 0.250 0.750 1
Sn1 0.000 0.000 0.500 1
Pt1 0.250 0.250 0.250 1
```

***

6.
Here is a relaxed NaGaSnPt crystal from OQMD. Energies are from PBE.

Results
DFT total energy: -58.92 eV per cell
spin magnetization: 0.00 μB per formula unit

The structure in CIF format:
```
data_NaGaSnPt
_cell_length_a 6.758
_cell_length_b 6.758
_cell_length_c 6.758
_cell_angle_alpha 90.00
_cell_angle_beta 90.00
_cell_angle_gamma 90.00
_space_group_name_H-M_alt 'F -4 3 m'
_space_group_IT_number 216
_space_group_name_Hall 'F -4 2 3'
loop_
_atom_site_label
_atom_site_fract_x
_atom_site_fract_y
_atom_site_fract_z
_atom_site_occupancy
Na1 0.000 0.000 0.000 1
Ga1 0.000 0.000 0.500 1
Sn1 0.250 0.250 0.750 1
Pt1 0.250 0.250 0.250 1
```

***

7.
Here is a relaxed NaTmGa4Pt2 crystal from OQMD. Energies are from PBE.

Results
DFT total energy: -70.92 eV per cell
spin magnetization: 0.02 μB per formula unit

The structure in CIF format:
```
data_NaTmGa4Pt2
_cell_length_a 6.830
_cell_length_b 4.290
_cell_length_c 10.003
_cell_angle_alpha 90.00
_cell_angle_beta 90.00
_cell_angle_gamma 90.00
_space_group_name_H-M_alt 'A m m 2'
_space_group_IT_number 38
loop_
_space_group_symop_operation_xyz
'x,y,z'
'-x,-y,z'
'-x,y,z'
'x,-y,z'
'x,y+1/2,z+1/2'
'-x,-y+1/2,z+1/2'
'-x,y+1/2,z+1/2'
'x,-y+1/2,z+1/2'
loop_
_atom_site_label
_atom_site_fract_x
_atom_site_fract_y
_atom_site_fract_z
_atom_site_occupancy
Na1 0.000 0.000 0.000 1
Tm1 0.500 0.000 0.843 1
Ga1 0.195 0.000 0.286 1
Ga2 0.297 0.000 0.555 1
Pt1 0.000 0.000 0.718 1
Pt2 0.500 0.000 0.128 1
```

***

8.
Here is a relaxed NaGaRe crystal from OQMD. Energies are from PBE.

Results
DFT total energy: -53.18 eV per cell
spin magnetization: 2.06 μB per formula unit

The structure in CIF format:
```
data_NaGaRe
_cell_length_a 6.195
_cell_length_b 6.195
_cell_length_c 6.195
_cell_angle_alpha 90.00
_cell_angle_beta 90.00
_cell_angle_gamma 90.00
_space_group_name_H-M_alt 'F -4 3 m'
_space_group_IT_number 216
_space_group_name_Hall 'F -4 2 3'
loop_
_atom_site_label
_atom_site_fract_x
_atom_site_fract_y
_atom_site_fract_z
_atom_site_occupancy
Na1 0.000 0.000 0.000 1
Ga1 0.250 0.250 0.250 1
Re1 0.000 0.000 0.500 1
```